(1)
Material: B4Sb
Method: DFT, PBE
State: relaxed

```
data_B4Sb
_chemical_formula_sum 'B4 Sb1'
_symmetry_space_group_name_H-M 'P m -3 m'
_symmetry_Int_Tables_number 221
_symmetry_space_group_name_Hall '-P 4 2 3'
_cell_length_a 4.4520
_cell_length_b 4.4520
_cell_length_c 4.4520
_cell_angle_alpha 90.00
_cell_angle_beta 90.00
_cell_angle_gamma 90.00
loop_
_atom_site_label
_atom_site_fract_x
_atom_site_fract_y
_atom_site_fract_z
B1 0.0000 0.0000 0.0000
B2 0.0000 0.5000 0.5000
Sb1 0.5000 0.5000 0.5000
```

Computed properties:
Energy relative to the elements, uncorrected   3.01 eV/atom
DOS at the Fermi energy   3.15 states/eV/cell

(2)
Material: BSb
Method: DFT, PBE
State: relaxed

```
data_BSb
_chemical_formula_sum 'B4 Sb4'
_symmetry_space_group_name_H-M 'P 42/m n m'
_symmetry_Int_Tables_number 136
_symmetry_space_group_name_Hall '-P 4n 2n'
_cell_length_a 6.4581
_cell_length_b 6.4581
_cell_length_c 3.7270
_cell_angle_alpha 90.00
_cell_angle_beta 90.00
_cell_angle_gamma 90.00
loop_
_atom_site_label
_atom_site_fract_x
_atom_site_fract_y
_atom_site_fract_z
B1 0.1772 0.1772 0.0000
Sb1 0.1813 0.8187 0.0000
```

Computed properties:
Energy relative to the elements, uncorrected   0.47 eV/atom

(3)
Material: BSb
Method: DFT, PBE
State: relaxed

```
data_BSb
_chemical_formula_sum 'B6 Sb6'
_symmetry_space_group_name_H-M 'P 63/m'
_symmetry_Int_Tables_number 176
_symmetry_space_group_name_Hall '-P 6c'
_cell_length_a 9.0833
_cell_length_b 9.0833
_cell_length_c 3.8011
_cell_angle_alpha 90.00
_cell_angle_beta 90.00
_cell_angle_gamma 120.00
loop_
_atom_site_label
_atom_site_fract_x
_atom_site_fract_y
_atom_site_fract_z
B1 0.0797 0.4128 0.2500
Sb1 0.0837 0.6733 0.2500
```

Computed properties:
Energy relative to the elements, uncorrected   0.60 eV/atom
DOS at the Fermi energy   0.22 states/eV/cell

(4)
Material: BSb
Method: DFT, PBE
State: relaxed

```
data_BSb
_chemical_formula_sum 'B2 Sb2'
_symmetry_space_group_name_H-M 'P -1'
_symmetry_Int_Tables_number 2
_cell_length_a 3.1284
_cell_length_b 4.1900
_cell_length_c 6.1113
_cell_angle_alpha 72.30
_cell_angle_beta 86.23
_cell_angle_gamma 73.36
loop_
_symmetry_equiv_pos_as_xyz
'x,y,z'
'-x,-y,-z'
loop_
_atom_site_label
_atom_site_fract_x
_atom_site_fract_y
_atom_site_fract_z
B1 0.2231 0.0694 0.4936
Sb1 0.0055 0.6408 0.2068
```

Computed properties:
Energy relative to the elements, uncorrected   0.41 eV/atom
DOS at the Fermi energy   1.27 states/eV/cell

(5)
Material: BSb
Method: DFT, PBE
State: relaxed

```
data_BSb
_chemical_formula_sum 'B4 Sb4'
_symmetry_space_group_name_H-M 'F -4 3 m'
_symmetry_Int_Tables_number 216
_symmetry_space_group_name_Hall 'F -4 2 3'
_cell_length_a 5.2808
_cell_length_b 5.2808
_cell_length_c 5.2808
_cell_angle_alpha 90.00
_cell_angle_beta 90.00
_cell_angle_gamma 90.00
loop_
_atom_site_label
_atom_site_fract_x
_atom_site_fract_y
_atom_site_fract_z
B1 0.0000 0.0000 0.0000
Sb1 0.2500 0.2500 0.2500
```

Computed properties:
Energy relative to the elements, uncorrected   0.37 eV/atom

(6)
Material: BSb
Method: DFT, PBE
State: relaxed

```
data_BSb
_chemical_formula_sum 'B8 Sb8'
_symmetry_space_group_name_H-M 'P 21 21 21'
_symmetry_Int_Tables_number 19
_cell_length_a 6.7511
_cell_length_b 6.7899
_cell_length_c 7.6465
_cell_angle_alpha 90.00
_cell_angle_beta 90.00
_cell_angle_gamma 90.00
loop_
_symmetry_equiv_pos_as_xyz
'x,y,z'
'-x+1/2,-y,z+1/2'
'x+1/2,-y+1/2,-z'
'-x,y+1/2,-z+1/2'
loop_
_atom_site_label
_atom_site_fract_x
_atom_site_fract_y
_atom_site_fract_z
B1 0.1362 0.0647 0.2325
B2 0.1542 0.5994 0.9655
Sb1 0.1580 0.4091 0.2154
Sb2 0.1926 0.1055 0.5298
```

Computed properties:
Energy relative to the elements, uncorrected   0.68 eV/atom

(7)
Material: BSb
Method: DFT, PBE
State: relaxed

```
data_BSb
_chemical_formula_sum 'B4 Sb4'
_symmetry_space_group_name_H-M 'F m -3 m'
_symmetry_Int_Tables_number 225
_symmetry_space_group_name_Hall '-F 4 2 3'
_cell_length_a 5.0240
_cell_length_b 5.0240
_cell_length_c 5.0240
_cell_angle_alpha 90.00
_cell_angle_beta 90.00
_cell_angle_gamma 90.00
loop_
_atom_site_label
_atom_site_fract_x
_atom_site_fract_y
_atom_site_fract_z
B1 0.0000 0.0000 0.0000
Sb1 0.0000 0.0000 0.5000
```

Computed properties:
Energy relative to the elements, uncorrected   0.92 eV/atom
DOS at the Fermi energy   3.43 states/eV/cell

(8)
Material: BSb
Method: DFT, PBE
State: relaxed

```
data_BSb
_chemical_formula_sum 'B2 Sb2'
_symmetry_space_group_name_H-M 'P -1'
_symmetry_Int_Tables_number 2
_cell_length_a 3.0903
_cell_length_b 3.6286
_cell_length_c 6.9514
_cell_angle_alpha 95.89
_cell_angle_beta 102.80
_cell_angle_gamma 90.02
loop_
_symmetry_equiv_pos_as_xyz
'x,y,z'
'-x,-y,-z'
loop_
_atom_site_label
_atom_site_fract_x
_atom_site_fract_y
_atom_site_fract_z
B1 0.2267 0.4806 0.4533
Sb1 0.1139 0.9425 0.2243
```

Computed properties:
Energy relative to the elements, uncorrected   0.38 eV/atom
DOS at the Fermi energy   1.08 states/eV/cell

(9)
Material: BSb
Method: DFT, PBE
State: relaxed

```
data_BSb
_chemical_formula_sum 'B6 Sb6'
_symmetry_space_group_name_H-M 'P m -3 n'
_symmetry_Int_Tables_number 223
_symmetry_space_group_name_Hall '-P 4n 2 3'
_cell_length_a 6.5033
_cell_length_b 6.5033
_cell_length_c 6.5033
_cell_angle_alpha 90.00
_cell_angle_beta 90.00
_cell_angle_gamma 90.00
loop_
_atom_site_label
_atom_site_fract_x
_atom_site_fract_y
_atom_site_fract_z
B1 0.0000 0.2500 0.5000
Sb1 0.0000 0.5000 0.2500
```

Computed properties:
Energy relative to the elements, uncorrected   0.60 eV/atom

(10)
Material: BSb
Method: DFT, PBE
State: relaxed

```
data_BSb
_chemical_formula_sum 'B8 Sb8'
_symmetry_space_group_name_H-M 'I 4/m'
_symmetry_Int_Tables_number 87
_symmetry_space_group_name_Hall '-I 4'
_cell_length_a 9.7219
_cell_length_b 9.7219
_cell_length_c 3.7424
_cell_angle_alpha 90.00
_cell_angle_beta 90.00
_cell_angle_gamma 90.00
loop_
_atom_site_label
_atom_site_fract_x
_atom_site_fract_y
_atom_site_fract_z
B1 0.1192 0.7119 0.0000
Sb1 0.1135 0.2858 0.0000
```

Computed properties:
Energy relative to the elements, uncorrected   0.62 eV/atom
DOS at the Fermi energy   1.05 states/eV/cell

(11)
Material: BSb
Method: DFT, PBE
State: relaxed

```
data_BSb
_chemical_formula_sum 'B2 Sb2'
_symmetry_space_group_name_H-M 'P 1 2/m 1'
_symmetry_Int_Tables_number 10
_cell_length_a 3.0871
_cell_length_b 3.6388
_cell_length_c 6.9755
_cell_angle_alpha 90.00
_cell_angle_beta 102.77
_cell_angle_gamma 90.00
loop_
_symmetry_equiv_pos_as_xyz
'x,y,z'
'-x,-y,-z'
'-x,y,-z'
'x,-y,z'
loop_
_atom_site_label
_atom_site_fract_x
_atom_site_fract_y
_atom_site_fract_z
B1 0.2267 0.0000 0.4531
Sb1 0.1183 0.5000 0.2275
```

Computed properties:
Energy relative to the elements, uncorrected   0.38 eV/atom
DOS at the Fermi energy   1.25 states/eV/cell

(12)
Material: BSb
Method: DFT, PBE
State: relaxed

```
data_BSb
_chemical_formula_sum 'B2 Sb2'
_symmetry_space_group_name_H-M 'P -6 m 2'
_symmetry_Int_Tables_number 187
_symmetry_space_group_name_Hall 'P -6 2'
_cell_length_a 3.7158
_cell_length_b 3.7158
_cell_length_c 6.3297
_cell_angle_alpha 90.00
_cell_angle_beta 90.00
_cell_angle_gamma 120.00
loop_
_atom_site_label
_atom_site_fract_x
_atom_site_fract_y
_atom_site_fract_z
B1 0.0000 0.0000 0.1389
Sb1 0.6667 0.3333 0.2714
```

Computed properties:
Energy relative to the elements, uncorrected   0.39 eV/atom
DOS at the Fermi energy   0.67 states/eV/cell

(13)
Material: BSb
Method: DFT, PBE
State: relaxed

```
data_BSb
_chemical_formula_sum 'B8 Sb8'
_symmetry_space_group_name_H-M 'I -4 3 m'
_symmetry_Int_Tables_number 217
_symmetry_space_group_name_Hall 'I -4 2 3'
_cell_length_a 7.2444
_cell_length_b 7.2444
_cell_length_c 7.2444
_cell_angle_alpha 90.00
_cell_angle_beta 90.00
_cell_angle_gamma 90.00
loop_
_atom_site_label
_atom_site_fract_x
_atom_site_fract_y
_atom_site_fract_z
B1 0.1579 0.1579 0.1579
Sb1 0.1639 0.1639 0.8361
```

Computed properties:
Energy relative to the elements, uncorrected   0.72 eV/atom

(14)
Material: BSb
Method: DFT, PBE
State: relaxed

```
data_BSb
_chemical_formula_sum 'B8 Sb8'
_symmetry_space_group_name_H-M 'P 4/m'
_symmetry_Int_Tables_number 83
_cell_length_a 10.4621
_cell_length_b 10.4621
_cell_length_c 3.8479
_cell_angle_alpha 90.00
_cell_angle_beta 90.00
_cell_angle_gamma 90.00
loop_
_symmetry_equiv_pos_as_xyz
'x,y,z'
'-x,-y,-z'
'-y,x,z'
'y,-x,-z'
'-x,-y,z'
'x,y,-z'
'y,-x,z'
'-y,x,-z'
loop_
_atom_site_label
_atom_site_fract_x
_atom_site_fract_y
_atom_site_fract_z
B1 0.1019 0.3863 0.0000
B2 0.1155 0.7310 0.5000
Sb1 0.1132 0.2680 0.5000
Sb2 0.1179 0.6075 0.0000
```

Computed properties:
Energy relative to the elements, uncorrected   0.77 eV/atom
DOS at the Fermi energy   0.31 states/eV/cell

(15)
Material: BSb
Method: DFT, PBE
State: relaxed

```
data_BSb
_chemical_formula_sum 'B16 Sb16'
_symmetry_space_group_name_H-M 'F d d d'
_symmetry_Int_Tables_number 70
_cell_length_a 7.4666
_cell_length_b 10.2704
_cell_length_c 10.3945
_cell_angle_alpha 90.00
_cell_angle_beta 90.00
_cell_angle_gamma 90.00
loop_
_symmetry_equiv_pos_as_xyz
'x,y,z'
'-x,-y,-z'
'-x+1/4,-y+1/4,z'
'x+1/4,y+1/4,-z'
'x,-y+1/4,-z+1/4'
'-x,y+1/4,z+1/4'
'-x+1/4,y,-z+1/4'
'x+1/4,-y,z+1/4'
'x,y+1/2,z+1/2'
'-x,-y+1/2,-z+1/2'
'-x+1/4,-y+3/4,z+1/2'
'x+1/4,y+3/4,-z+1/2'
'x,-y+3/4,-z+3/4'
'-x,y+3/4,z+3/4'
'-x+1/4,y+1/2,-z+3/4'
'x+1/4,-y+1/2,z+3/4'
'x+1/2,y,z+1/2'
'-x+1/2,-y,-z+1/2'
'-x+3/4,-y+1/4,z+1/2'
'x+3/4,y+1/4,-z+1/2'
'x+1/2,-y+1/4,-z+3/4'
'-x+1/2,y+1/4,z+3/4'
'-x+3/4,y,-z+3/4'
'x+3/4,-y,z+3/4'
'x+1/2,y+1/2,z'
'-x+1/2,-y+1/2,-z'
'-x+3/4,-y+3/4,z'
'x+3/4,y+3/4,-z'
'x+1/2,-y+3/4,-z+1/4'
'-x+1/2,y+3/4,z+1/4'
'-x+3/4,y+1/2,-z+1/4'
'x+3/4,-y+1/2,z+1/4'
loop_
_atom_site_label
_atom_site_fract_x
_atom_site_fract_y
_atom_site_fract_z
B1 0.1250 0.1250 0.2818
Sb1 0.1250 0.2883 0.1250
```

Computed properties:
Energy relative to the elements, uncorrected   0.76 eV/atom

(16)
Material: BSb
Method: DFT, PBE
State: relaxed

```
data_BSb
_chemical_formula_sum 'B6 Sb6'
_symmetry_space_group_name_H-M 'R -3 m'
_symmetry_Int_Tables_number 166
_symmetry_space_group_name_Hall '-R 3 2"'
_cell_length_a 3.7511
_cell_length_b 3.7511
_cell_length_c 18.5522
_cell_angle_alpha 90.00
_cell_angle_beta 90.00
_cell_angle_gamma 120.00
loop_
_atom_site_label
_atom_site_fract_x
_atom_site_fract_y
_atom_site_fract_z
B1 0.0000 0.0000 0.0467
Sb1 0.0000 0.0000 0.4227
```

Computed properties:
Energy relative to the elements, uncorrected   0.34 eV/atom
DOS at the Fermi energy   1.44 states/eV/cell

(17)
Material: BSb
Method: DFT, PBE
State: relaxed

```
data_BSb
_chemical_formula_sum 'B6 Sb6'
_symmetry_space_group_name_H-M 'P m n 21'
_symmetry_Int_Tables_number 31
_cell_length_a 10.6592
_cell_length_b 3.6608
_cell_length_c 6.5569
_cell_angle_alpha 90.00
_cell_angle_beta 90.00
_cell_angle_gamma 90.00
loop_
_symmetry_equiv_pos_as_xyz
'x,y,z'
'-x+1/2,-y,z+1/2'
'-x,y,z'
'x+1/2,-y,z+1/2'
loop_
_atom_site_label
_atom_site_fract_x
_atom_site_fract_y
_atom_site_fract_z
B1 0.0000 0.0346 0.0000
B2 0.2149 0.3393 0.2510
Sb1 0.0000 0.5175 0.2206
Sb2 0.2031 0.1596 0.9061
```

Computed properties:
Energy relative to the elements, uncorrected   0.76 eV/atom
DOS at the Fermi energy   0.30 states/eV/cell

(18)
Material: BSb
Method: DFT, PBE
State: relaxed

```
data_BSb
_chemical_formula_sum 'B6 Sb6'
_symmetry_space_group_name_H-M 'P m m n'
_symmetry_Int_Tables_number 59
_cell_length_a 3.7448
_cell_length_b 11.5458
_cell_length_c 5.6468
_cell_angle_alpha 90.00
_cell_angle_beta 90.00
_cell_angle_gamma 90.00
loop_
_symmetry_equiv_pos_as_xyz
'x,y,z'
'-x,-y,-z'
'-x+1/2,-y+1/2,z'
'x+1/2,y+1/2,-z'
'x+1/2,-y,-z'
'-x+1/2,y,z'
'-x,y+1/2,-z'
'x,-y+1/2,z'
loop_
_atom_site_label
_atom_site_fract_x
_atom_site_fract_y
_atom_site_fract_z
B1 0.2500 0.1036 0.1085
B2 0.2500 0.7500 0.3973
Sb1 0.2500 0.2500 0.3737
Sb2 0.2500 0.6002 0.1277
```

Computed properties:
Energy relative to the elements, uncorrected   0.55 eV/atom
DOS at the Fermi energy   0.20 states/eV/cell

(19)
Material: ScBSb3
Method: DFT, PBE
State: relaxed

```
data_ScBSb3
_chemical_formula_sum 'Sc1 B1 Sb3'
_symmetry_space_group_name_H-M 'P m -3 m'
_symmetry_Int_Tables_number 221
_symmetry_space_group_name_Hall '-P 4 2 3'
_cell_length_a 5.4391
_cell_length_b 5.4391
_cell_length_c 5.4391
_cell_angle_alpha 90.00
_cell_angle_beta 90.00
_cell_angle_gamma 90.00
loop_
_atom_site_label
_atom_site_fract_x
_atom_site_fract_y
_atom_site_fract_z
Sc1 0.0000 0.0000 0.0000
B1 0.5000 0.5000 0.5000
Sb1 0.0000 0.0000 0.5000
```

Computed properties:
Energy relative to the elements, uncorrected   1.12 eV/atom
Distance to the lowest polymorph of the same formula   659.2 meV per atom
DOS at the Fermi energy   3.87 states/eV/cell

(20)
Material: ScB3Sb
Method: DFT, PBE
State: relaxed

```
data_ScB3Sb
_chemical_formula_sum 'Sc1 B3 Sb1'
_symmetry_space_group_name_H-M 'P m -3 m'
_symmetry_Int_Tables_number 221
_symmetry_space_group_name_Hall '-P 4 2 3'
_cell_length_a 4.4169
_cell_length_b 4.4169
_cell_length_c 4.4169
_cell_angle_alpha 90.00
_cell_angle_beta 90.00
_cell_angle_gamma 90.00
loop_
_atom_site_label
_atom_site_fract_x
_atom_site_fract_y
_atom_site_fract_z
Sc1 0.0000 0.0000 0.0000
B1 0.0000 0.5000 0.5000
Sb1 0.5000 0.5000 0.5000
```

Computed properties:
Energy relative to the elements, uncorrected   1.71 eV/atom
Distance to the lowest polymorph of the same formula   0.0 meV per atom
DOS at the Fermi energy   2.58 states/eV/cell

(21)
Material: ScB3Sb
Method: DFT, PBE
State: relaxed

```
data_ScB3Sb
_chemical_formula_sum 'Sc1 B3 Sb1'
_symmetry_space_group_name_H-M 'P m -3 m'
_symmetry_Int_Tables_number 221
_symmetry_space_group_name_Hall '-P 4 2 3'
_cell_length_a 4.4219
_cell_length_b 4.4219
_cell_length_c 4.4219
_cell_angle_alpha 90.00
_cell_angle_beta 90.00
_cell_angle_gamma 90.00
loop_
_atom_site_label
_atom_site_fract_x
_atom_site_fract_y
_atom_site_fract_z
Sc1 0.0000 0.0000 0.0000
B1 0.0000 0.0000 0.5000
Sb1 0.5000 0.5000 0.5000
```

Computed properties:
Energy relative to the elements, uncorrected   1.83 eV/atom
Distance to the lowest polymorph of the same formula   121.1 meV per atom
DOS at the Fermi energy   4.31 states/eV/cell

(22)
Material: ScBSb2
Method: DFT, PBE
State: relaxed

```
data_ScBSb2
_chemical_formula_sum 'Sc4 B4 Sb8'
_symmetry_space_group_name_H-M 'I -4 2 d'
_symmetry_Int_Tables_number 122
_symmetry_space_group_name_Hall 'I -4 2bw'
_cell_length_a 6.8511
_cell_length_b 6.8511
_cell_length_c 7.5039
_cell_angle_alpha 90.00
_cell_angle_beta 90.00
_cell_angle_gamma 90.00
loop_
_atom_site_label
_atom_site_fract_x
_atom_site_fract_y
_atom_site_fract_z
Sc1 0.0000 0.0000 0.0000
B1 0.0000 0.0000 0.5000
Sb1 0.1721 0.7500 0.6250
```

Computed properties:
Energy relative to the elements, uncorrected   0.07 eV/atom
DOS at the Fermi energy   7.52 states/eV/cell

(23)
Material: Sc3BSb
Method: DFT, PBE
State: relaxed

```
data_Sc3BSb
_chemical_formula_sum 'Sc3 B1 Sb1'
_symmetry_space_group_name_H-M 'P m -3 m'
_symmetry_Int_Tables_number 221
_symmetry_space_group_name_Hall '-P 4 2 3'
_cell_length_a 4.6357
_cell_length_b 4.6357
_cell_length_c 4.6357
_cell_angle_alpha 90.00
_cell_angle_beta 90.00
_cell_angle_gamma 90.00
loop_
_atom_site_label
_atom_site_fract_x
_atom_site_fract_y
_atom_site_fract_z
Sc1 0.0000 0.0000 0.5000
B1 0.0000 0.0000 0.0000
Sb1 0.5000 0.5000 0.5000
```

Computed properties:
Energy relative to the elements, uncorrected   -0.66 eV/atom
Distance to the lowest polymorph of the same formula   0.0 meV per atom
DOS at the Fermi energy   2.96 states/eV/cell